# Nd2GaAs3Rh4 (PBE-GGA, optimized geometry)
# Energy   -6.512 eV/atom
# DFT formation energy   -921 meV per atom
# V   18.4 Å³/atom
data_Nd2GaAs3Rh4
_cell_length_a 4.238
_cell_length_b 4.238
_cell_length_c 10.238
_cell_angle_alpha 90.00
_cell_angle_beta 90.00
_cell_angle_gamma 90.00
_space_group_name_H-M_alt 'P -4 m 2'
_space_group_IT_number 115
loop_
_space_group_symop_operation_xyz
'x,y,z'
'y,-x,-z'
'-x,-y,z'
'-y,x,-z'
'-x,y,z'
'-y,-x,-z'
'x,-y,z'
'y,x,-z'
loop_
_atom_site_label
_atom_site_type_symbol
_atom_site_fract_x
_atom_site_fract_y
_atom_site_fract_z
_atom_site_occupancy
Nd1 Nd 0.000 0.500 0.247 1
Ga1 Ga 0.500 0.500 0.000 1
As1 As 0.000 0.000 0.000 1
As2 As 0.000 0.500 0.636 1
Rh1 Rh 0.000 0.000 0.500 1
Rh2 Rh 0.000 0.500 0.872 1
Rh3 Rh 0.500 0.500 0.500 1

=====

# Cs2UBi2Te6 (PBE-GGA, optimized geometry)
# Energy   -4.081 eV/atom
# ΔE_f (raw)   -5.28 eV per formula unit
# V   46.5 Å³/atom
data_Cs2UBi2Te6
_cell_length_a 16.427
_cell_length_b 8.379
_cell_length_c 8.743
_cell_angle_alpha 90.00
_cell_angle_beta 121.79
_cell_angle_gamma 90.00
_space_group_name_H-M_alt 'C 1 2/m 1'
_space_group_IT_number 12
loop_
_space_group_symop_operation_xyz
'x,y,z'
'-x,-y,-z'
'-x,y,-z'
'x,-y,z'
'x+1/2,y+1/2,z'
'-x+1/2,-y+1/2,-z'
'-x+1/2,y+1/2,-z'
'x+1/2,-y+1/2,z'
loop_
_atom_site_label
_atom_site_type_symbol
_atom_site_fract_x
_atom_site_fract_y
_atom_site_fract_z
_atom_site_occupancy
Cs1 Cs 0.238 0.000 0.259 1
U1 U 0.000 0.000 0.500 1
Bi1 Bi 0.060 0.500 0.910 1
Te1 Te 0.063 0.247 0.337 1
Te2 Te 0.198 0.000 0.779 1

=====

# Tm2GaPd8 (PBE-GGA, optimized geometry)
# Energy   -5.571 eV/atom
# DFT formation energy   -707 meV per atom
# V   17.3 Å³/atom
data_Tm2GaPd8
_cell_length_a 15.189
_cell_length_b 4.584
_cell_length_c 5.939
_cell_angle_alpha 90.00
_cell_angle_beta 112.96
_cell_angle_gamma 90.00
_space_group_name_H-M_alt 'C 1 2/m 1'
_space_group_IT_number 12
loop_
_space_group_symop_operation_xyz
'x,y,z'
'-x,-y,-z'
'-x,y,-z'
'x,-y,z'
'x+1/2,y+1/2,z'
'-x+1/2,-y+1/2,-z'
'-x+1/2,y+1/2,-z'
'x+1/2,-y+1/2,z'
loop_
_atom_site_label
_atom_site_type_symbol
_atom_site_fract_x
_atom_site_fract_y
_atom_site_fract_z
_atom_site_occupancy
Tm1 Tm 0.189 0.000 0.189 1
Ga1 Ga 0.000 0.500 0.500 1
Pd1 Pd 0.000 0.000 0.249 1
Pd2 Pd 0.135 0.500 0.374 1
Pd3 Pd 0.135 0.500 0.896 1
Pd4 Pd 0.180 0.000 0.680 1

=====

# Tb5AgHg4 (PBE-GGA, optimized geometry)
# Energy   -3.166 eV/atom
# DFT formation energy   -445 meV per atom
# V   25.7 Å³/atom
data_Tb5AgHg4
_cell_length_a 3.712
_cell_length_b 3.712
_cell_length_c 18.656
_cell_angle_alpha 90.00
_cell_angle_beta 90.00
_cell_angle_gamma 90.00
_space_group_name_H-M_alt 'P 4/m m m'
_space_group_IT_number 123
_space_group_name_Hall '-P 4 2'
loop_
_atom_site_label
_atom_site_type_symbol
_atom_site_fract_x
_atom_site_fract_y
_atom_site_fract_z
_atom_site_occupancy
Tb1 Tb 0.000 0.000 0.000 1
Tb2 Tb 0.000 0.000 0.202 1
Tb3 Tb 0.000 0.000 0.404 1
Ag1 Ag 0.500 0.500 0.500 1
Hg1 Hg 0.500 0.500 0.101 1
Hg2 Hg 0.500 0.500 0.302 1